DFT (PBE-GGA) results for crystalline AlFeTe2I at its relaxed geometry.

Output
offset from the most stable computed form: 0 meV per atom
N(E_F): 7.03 states/eV/f.u.
crystal system: tetragonal
E_form (uncorrected): 2.30 eV per formula unit

Cell lengths 4.962, 4.962, 5.768 Å; angles 90.00, 90.00, 90.00 degrees
Positions (direct):
Al 0.000 0.000 0.000
Fe 0.500 0.500 0.500
Te 0.000 0.500 0.500
Te 0.500 0.000 0.500
I 0.500 0.500 0.000

DFT (PBE-GGA) results for crystalline Tb6ErTh2 at its relaxed geometry.

Output
offset from the most stable computed form: 40 meV per atom
N(E_F): 17.69 states/eV/f.u.
crystal system: hexagonal

Cell lengths 3.567, 3.567, 26.329 Å; angles 90.00, 90.00, 120.00 degrees
Positions (direct):
Tb 0.000 0.000 0.064
Tb 0.000 0.000 0.283
Tb 0.000 0.000 0.717
Tb 0.000 0.000 0.936
Tb 0.333 0.667 0.393
Tb 0.333 0.667 0.607
Er 0.000 0.000 0.500
Th 0.333 0.667 0.171
Th 0.333 0.667 0.829

DFT (PBE-GGA) results for crystalline PmS6Br2 at its relaxed geometry.

Output
N(E_F): 2.45 states/eV/f.u.
crystal system: triclinic
E_form (uncorrected): -4.85 eV per formula unit

Cell lengths 4.331, 8.360, 9.152 Å; angles 114.14, 92.90, 91.82 degrees
Positions (direct):
Pm 0.000 0.000 0.000
S 0.095 0.715 0.455
S 0.097 0.502 0.719
S 0.118 0.290 0.304
S 0.882 0.710 0.696
S 0.903 0.498 0.281
S 0.905 0.285 0.545
Br 0.498 0.848 0.113
Br 0.502 0.152 0.887

DFT (PBE-GGA) results for crystalline La3Er4Tl at its relaxed geometry.

Output
N(E_F): 10.35 states/eV/f.u.
crystal system: orthorhombic
uncorrected energy: -71.60 eV for the cell shown

Cell lengths 11.396, 7.171, 6.249 Å; angles 90.00, 90.00, 90.00 degrees
Positions (direct):
La 0.000 0.136 0.000
La 0.230 0.138 0.363
La 0.270 0.862 0.863
La 0.500 0.864 0.500
La 0.730 0.862 0.863
La 0.770 0.138 0.363
Er 0.000 0.629 0.026
Er 0.000 0.869 0.543
Er 0.240 0.616 0.354
Er 0.260 0.384 0.854
Er 0.500 0.131 0.043
Er 0.500 0.371 0.526
Er 0.740 0.384 0.854
Er 0.760 0.616 0.354
Tl 0.000 0.405 0.540
Tl 0.500 0.595 0.040

DFT (PBE-GGA) results for crystalline LaFe2Pb at its relaxed geometry.

Output
N(E_F): 2.91 states/eV/f.u.
crystal system: tetragonal
uncorrected energy: -24.98 eV for the cell shown

Cell lengths 3.290, 3.290, 7.694 Å; angles 90.00, 90.00, 90.00 degrees
Positions (direct):
La 0.000 0.000 0.000
Fe 0.000 0.000 0.598
Fe 0.500 0.500 0.727
Pb 0.500 0.500 0.356

DFT (PBE-GGA) results for crystalline ScWSe at its relaxed geometry.

Output
offset from the most stable computed form: 108 meV per atom
N(E_F): 2.39 states/eV/f.u.
crystal system: hexagonal
E_form (uncorrected): 0.03 eV per formula unit

Cell lengths 4.453, 4.453, 3.175 Å; angles 90.00, 90.00, 120.00 degrees
Positions (direct):
Sc 0.000 0.000 0.000
W 0.333 0.667 0.500
Se 0.667 0.333 0.500